No. 1
Material: ZnRe2GeBr
Method: DFT, PBE
State: relaxed

The magnetization comes out at 5.03 Bohr magnetons per cell. The crystal system is tetragonal.

The space group is P4/mmm (No. 123) and the conventional cell measures 4.759, 4.759 and 5.306 Å, with angles of 90.00, 90.00 and 90.00 degrees. The asymmetric unit holds Zn at (0.000, 0.000, 0.000), Re at (0.000, 0.500, 0.500), Ge at (0.500, 0.500, 0.500) and Br at (0.500, 0.500, 0.000).

No. 2
Material: Sr2MgAg7
Method: DFT, PBE
State: relaxed

For the energy of formation, the calculation gives -0.18 eV per atom. The magnetization comes out at 0.00 Bohr magnetons per cell. The crystal system is tetragonal.

The space group is P-4m2 (No. 115) and the conventional cell measures 4.386, 4.386 and 12.547 Å, with angles of 90.00, 90.00 and 90.00 degrees. The asymmetric unit holds Sr at (0.000, 0.500, 0.239), Mg at (0.000, 0.000, 0.500), Ag at (0.000, 0.000, 0.000), Ag at (0.000, 0.500, 0.642), Ag at (0.000, 0.500, 0.860), Ag at (0.500, 0.500, 0.000) and Ag at (0.500, 0.500, 0.500).

These records have total DFT energy (no corrections) values of -0.34267 -0.19652 Ry/atom, in the order they appear.